# Sm2ZnIn3 (GGA-PBE, optimized geometry)
data_Sm2ZnIn3
_chemical_formula_sum 'Sm4 Zn2 In6'
_symmetry_space_group_name_H-M 'P 1'
_symmetry_Int_Tables_number 1
_cell_length_a 9.689
_cell_length_b 9.165
_cell_length_c 6.110
_cell_angle_alpha 75.81
_cell_angle_beta 66.50
_cell_angle_gamma 37.69
loop_
_symmetry_equiv_pos_as_xyz
'x,y,z'
loop_
_atom_site_label
_atom_site_fract_x
_atom_site_fract_y
_atom_site_fract_z
Sm1 0.250 0.250 0.250
Sm2 0.250 0.750 0.750
Sm3 0.750 0.250 0.250
Sm4 0.750 0.750 0.750
Zn1 0.167 0.167 0.833
Zn2 0.833 0.833 0.167
In1 0.157 0.671 0.329
In2 0.328 0.328 0.672
In3 0.329 0.843 0.157
In4 0.671 0.157 0.843
In5 0.672 0.672 0.328
In6 0.843 0.329 0.671
# Energy above the most stable polymorph in this dataset: 0.000 eV/atom
# Calculated volume: 301.79 Å³/cell
# Magnetic moment: 0.000 μB per atom
# DFT total energy: -43.2 eV per cell
# DFT formation energy: -0.4471 eV/atom